Compound: Ti5Zn4Hg
Source: Alexandria
Functional: GGA-PBE
Structure: relaxed

Results
DOS(E_F) in states/eV/f.u.: 5.9
M_tot in μB per atom: 0.00
E_form in eV/f.u.: -1.4

Geometry as POSCAR:
```
Ti5Zn4Hg
1.0
3.146 0.000 0.000
0.000 3.146 0.000
0.000 0.000 16.385
Ti Zn Hg
5 4 1
Cartesian
1.573 1.573 11.326
1.573 1.573 14.489
1.573 1.573 5.059
1.573 1.573 8.193
1.573 1.573 1.896
0.000 0.000 3.490
0.000 0.000 12.895
0.000 0.000 9.762
0.000 0.000 6.623
0.000 0.000 0.000
```